--- w ---
ZrMoBr2 | PBE | optimized geometry

Space-group type: Pmmm, No. 47
Calculated volume: 85.0 Å³/cell

Cell: 3.1373 5.9007 4.5912 Å, 90.00 90.00 90.00°
Positions (direct):
Zr (0.0000, 0.5000, 0.5000)
Mo (0.5000, 0.0000, 0.5000)
Br (0.0000, 0.0000, 0.0000)
Br (0.5000, 0.5000, 0.0000)



--- x ---
ZrMoBr2 | PBE | optimized geometry

Space-group type: R-3m, No. 166
Calculated volume: 83.1 Å³/cell

Cell: 9.3734 9.3734 9.3734 Å, 19.85 19.85 19.85°
Positions (direct):
Br (0.9076, 0.9076, 0.9076)
Br (0.0924, 0.0924, 0.0924)
Zr (0.5000, 0.5000, 0.5000)
Mo (0.0000, 0.0000, 0.0000)



The relative energies come out as w 0.228; x 0.000, with values in eV/atom.



--- w ---
ZrMoBr2 | PBE | optimized geometry

Space-group type: P2/m, No. 10
Calculated volume: 84.1 Å³/cell

Cell: 4.5163 3.7143 5.0146 Å, 89.44 90.00 90.00°
Positions (direct):
Mo (0.5000, 0.2500, 0.2500)
Br (0.0000, 0.4873, 0.4887)
Br (0.0000, 0.0127, 0.0113)
Zr (0.5000, 0.7500, 0.7500)



--- x ---
ZrMoBr2 | PBE | optimized geometry

Space-group type: Cmmm, No. 65
Calculated volume: 85.3 Å³/cell

Cell: 3.3719 3.3719 9.1807 Å, 90.00 90.00 125.15°
Positions (direct):
Br (0.0000, 0.0000, 0.0101)
Br (0.0000, 0.0000, 0.4899)
Mo (0.5000, 0.5000, 0.2500)
Zr (0.5000, 0.5000, 0.7500)



The relative energies come out as w 0.000; x 0.092, with values in eV/atom.



--- w ---
Zr3MoBr | PBE | optimized geometry

Space-group type: Pm-3m, No. 221
Calculated volume: 118.8 Å³/cell

Cell: 4.9154 4.9154 4.9154 Å, 90.00 90.00 90.00°
Positions (direct):
Zr (0.5000, 0.0000, 0.0000)
Zr (0.0000, 0.0000, 0.5000)
Zr (0.0000, 0.5000, 0.0000)
Br (0.0000, 0.0000, 0.0000)
Mo (0.5000, 0.5000, 0.5000)



--- x ---
Zr3MoBr | PBE | optimized geometry

Space-group type: Pm-3m, No. 221
Calculated volume: 134.7 Å³/cell

Cell: 5.1257 5.1257 5.1257 Å, 90.00 90.00 90.00°
Positions (direct):
Br (0.5000, 0.5000, 0.5000)
Mo (0.0000, 0.0000, 0.0000)
Zr (0.0000, 0.5000, 0.0000)
Zr (0.5000, 0.0000, 0.0000)
Zr (0.0000, 0.0000, 0.5000)



The relative energies come out as w 0.082; x 0.000, with values in eV/atom.



--- w ---
NaBrN2 | PBE | optimized geometry

Space-group type: Fm-3m, No. 225
Calculated volume: 50.7 Å³/cell

Cell: 4.1556 4.1556 4.1556 Å, 60.00 60.00 60.00°
Positions (direct):
N (0.2500, 0.2500, 0.2500)
N (0.7500, 0.7500, 0.7500)
Br (0.5000, 0.5000, 0.5000)
Na (0.0000, 0.0000, 0.0000)



--- x ---
NaBrN2 | PBE | optimized geometry

Space-group type: R-3m, No. 166
Calculated volume: 76.2 Å³/cell

Cell: 6.2689 6.2689 6.2689 Å, 36.01 36.01 36.01°
Positions (direct):
Br (0.0000, 0.0000, 0.0000)
Na (0.5000, 0.5000, 0.5000)
N (0.8968, 0.8968, 0.8968)
N (0.1032, 0.1032, 0.1032)



The relative energies come out as w 0.510; x 0.000, with values in eV/atom.



--- w ---
NaBrN | PBE | optimized geometry

Space-group type: P-1, No. 2
Calculated volume: 188.0 Å³/cell

Cell: 4.1868 5.9193 10.8436 Å, 97.72 81.06 134.88°
Positions (direct):
N (0.4019, 0.7757, 0.0151)
N (0.5212, 0.2485, 0.7631)
Na (0.9131, 0.2702, 0.5219)
Na (0.0100, 0.7540, 0.2562)
Br (0.0172, 0.2534, 0.2426)
Br (0.9058, 0.7708, 0.5355)



--- x ---
NaBrN | PBE | optimized geometry

Space-group type: P-1, No. 2
Calculated volume: 133.0 Å³/cell

Cell: 4.8493 4.5545 6.3905 Å, 90.10 109.57 89.99°
Positions (direct):
Na (0.4445, 0.7493, 0.7986)
Na (0.5555, 0.2507, 0.2014)
Br (0.1330, 0.7512, 0.2838)
Br (0.8670, 0.2488, 0.7162)
N (0.7284, 0.7508, 0.1994)
N (0.2716, 0.2492, 0.8006)



The relative energies come out as w 0.252; x 0.000, with values in eV/atom.



--- w ---
NaSBrN2 | PBE | optimized geometry

Space-group type: P4/mmm, No. 123
Calculated volume: 96.7 Å³/cell

Cell: 4.3239 4.3239 5.1747 Å, 90.00 90.00 90.00°
Positions (direct):
Br (0.0000, 0.0000, 0.0000)
N (0.0000, 0.5000, 0.0000)
N (0.5000, 0.0000, 0.0000)
S (0.0000, 0.0000, 0.5000)
Na (0.5000, 0.5000, 0.5000)



--- x ---
NaSBrN2 | PBE | optimized geometry

Space-group type: P4/mmm, No. 123
Calculated volume: 112.9 Å³/cell

Cell: 4.5043 4.5043 5.5655 Å, 90.00 90.00 90.00°
Positions (direct):
N (0.0000, 0.5000, 0.0000)
N (0.5000, 0.0000, 0.0000)
S (0.0000, 0.0000, 0.5000)
Br (0.5000, 0.5000, 0.5000)
Na (0.0000, 0.0000, 0.0000)



The relative energies come out as w 0.000; x 0.320, with values in eV/atom.



--- w ---
NaSe2BrN | PBE | optimized geometry

Space-group type: P4/mmm, No. 123
Calculated volume: 182.7 Å³/cell

Cell: 5.7248 5.7248 5.5740 Å, 90.00 90.00 90.00°
Positions (direct):
Br (0.0000, 0.0000, 0.5000)
Se (0.5000, 0.0000, 0.0000)
Se (0.0000, 0.5000, 0.0000)
N (0.5000, 0.5000, 0.5000)
Na (0.0000, 0.0000, 0.0000)



--- x ---
NaSe2BrN | PBE | optimized geometry

Space-group type: P4/mmm, No. 123
Calculated volume: 146.9 Å³/cell

Cell: 4.1466 4.1466 8.5438 Å, 90.00 90.00 90.00°
Positions (direct):
N (0.0000, 0.0000, 0.0000)
Na (0.5000, 0.5000, 0.5000)
Se (0.5000, 0.0000, 0.0000)
Se (0.0000, 0.5000, 0.0000)
Br (0.0000, 0.0000, 0.5000)



--- y ---
NaSe2BrN | PBE | optimized geometry

Space-group type: P4/mmm, No. 123
Calculated volume: 151.5 Å³/cell

Cell: 5.6622 5.6622 4.7270 Å, 90.00 90.00 90.00°
Positions (direct):
Na (0.0000, 0.0000, 0.0000)
Se (0.5000, 0.0000, 0.0000)
Se (0.0000, 0.5000, 0.0000)
Br (0.5000, 0.5000, 0.5000)
N (0.0000, 0.0000, 0.5000)



The relative energies come out as w 1.161; x 0.000; y 1.140, with values in eV/atom.



--- w ---
NaTe2BrN | PBE | optimized geometry

Space-group type: P4/mmm, No. 123
Calculated volume: 145.8 Å³/cell

Cell: 6.3554 6.3554 3.6106 Å, 90.00 90.00 90.00°
Positions (direct):
N (0.0000, 0.0000, 0.5000)
Br (0.0000, 0.0000, 0.0000)
Te (0.0000, 0.5000, 0.0000)
Te (0.5000, 0.0000, 0.0000)
Na (0.5000, 0.5000, 0.5000)



--- x ---
NaTe2BrN | PBE | optimized geometry

Space-group type: P4/mmm, No. 123
Calculated volume: 147.7 Å³/cell

Cell: 5.7397 5.7397 4.4845 Å, 90.00 90.00 90.00°
Positions (direct):
Na (0.0000, 0.0000, 0.0000)
Te (0.0000, 0.5000, 0.0000)
Te (0.5000, 0.0000, 0.0000)
N (0.0000, 0.0000, 0.5000)
Br (0.5000, 0.5000, 0.5000)



The relative energies come out as w 0.000; x 0.304, with values in eV/atom.